[1]
DFT (GGA-PBE) results for a geometry-optimized Tl3Co structure.

Results
The calculation puts the density of states at the Fermi level at 30.38 states/eV/cell. The calculation puts the formation energy at 0.6314 eV/atom.

The structure in CIF format:
```
data_Tl3Co
_cell_length_a 7.332
_cell_length_b 7.332
_cell_length_c 7.332
_cell_angle_alpha 90.00
_cell_angle_beta 90.00
_cell_angle_gamma 90.00
_symmetry_space_group_name_H-M 'F m -3 m'
_symmetry_Int_Tables_number 225
_symmetry_space_group_name_Hall '-F 4 2 3'
loop_
_atom_site_label
_atom_site_type_symbol
_atom_site_fract_x
_atom_site_fract_y
_atom_site_fract_z
Tl1 Tl 0.000 0.000 0.000
Tl2 Tl 0.250 0.250 0.250
Co1 Co 0.000 0.000 0.500
```

***

[2]
DFT (GGA-PBE) results for a geometry-optimized RhAuI4 structure.

Results
As for the formation energy without anion corrections: -0.16 eV/atom.

The structure in CIF format:
```
data_RhAuI4
_cell_length_a 8.638
_cell_length_b 18.538
_cell_length_c 6.999
_cell_angle_alpha 90.00
_cell_angle_beta 125.84
_cell_angle_gamma 90.00
_symmetry_space_group_name_H-M 'C 1 2/c 1'
_symmetry_Int_Tables_number 15
_symmetry_space_group_name_Hall '-C 2yc'
loop_
_atom_site_label
_atom_site_type_symbol
_atom_site_fract_x
_atom_site_fract_y
_atom_site_fract_z
Rh1 Rh 0.000 0.052 0.250
Au1 Au 0.000 0.367 0.750
I1 I 0.212 0.047 0.725
I2 I 0.222 0.163 0.285
```

***

Number 1: VASP energy -2.92 eV per atom, magnetization 1.444 μB per formula unit, mass density 11.33 g cm⁻³. Number 2: VASP energy -2.96 eV per atom, magnetization 0.000 μB per formula unit, mass density 5.90 g cm⁻³.